(1)
SrLi2Tl | PBE-GGA | optimized geometry

Structure (CIF):
```
data_SrLi2Tl
_cell_length_a 4.906
_cell_length_b 4.906
_cell_length_c 4.825
_cell_angle_alpha 90.00
_cell_angle_beta 90.00
_cell_angle_gamma 90.00
_space_group_name_H-M_alt 'P 4/m m m'
_space_group_IT_number 123
_space_group_name_Hall '-P 4 2'
loop_
_atom_site_label
_atom_site_type_symbol
_atom_site_fract_x
_atom_site_fract_y
_atom_site_fract_z
Sr1 Sr 0.000 0.000 0.000
Li1 Li 0.000 0.500 0.500
Tl1 Tl 0.500 0.500 0.000
```

Summary:
- calculated formation energy (meV per atom) = -92
- crystal system = tetragonal

---

(2)
LaNd2Hg2 | PBE-GGA | optimized geometry

Structure (CIF):
```
data_LaNd2Hg2
_cell_length_a 5.3851
_cell_length_b 5.3851
_cell_length_c 6.5079
_cell_angle_alpha 90.00
_cell_angle_beta 90.00
_cell_angle_gamma 120.00
_space_group_name_H-M_alt 'P -3 m 1'
_space_group_IT_number 164
_space_group_name_Hall '-P 3 2"'
loop_
_atom_site_label
_atom_site_type_symbol
_atom_site_fract_x
_atom_site_fract_y
_atom_site_fract_z
La1 La 0.0000 0.0000 0.0000
Nd1 Nd 0.3333 0.6667 0.6543
Hg1 Hg 0.3333 0.6667 0.1651
```

Summary:
- E above lowest polymorph (kJ/mol of formula units) = 63.2
- calculated formation energy (meV per atom) = -252
- crystal system = trigonal

---

(3)
CaGa2AgAu5 | PBE-GGA | optimized geometry

Structure (CIF):
```
data_CaGa2AgAu5
_cell_length_a 4.839
_cell_length_b 4.839
_cell_length_c 7.852
_cell_angle_alpha 90.00
_cell_angle_beta 90.00
_cell_angle_gamma 90.00
_space_group_name_H-M_alt 'P 4/m m m'
_space_group_IT_number 123
_space_group_name_Hall '-P 4 2'
loop_
_atom_site_label
_atom_site_type_symbol
_atom_site_fract_x
_atom_site_fract_y
_atom_site_fract_z
Ca1 Ca 0.000 0.000 0.000
Ga1 Ga 0.500 0.500 0.346
Ag1 Ag 0.000 0.000 0.500
Au1 Au 0.000 0.500 0.241
Au2 Au 0.500 0.500 0.000
```

Summary:
- calculated formation energy (meV per atom) = -241
- crystal system = tetragonal

---

(4)
Nd4Sb2C | PBE-GGA | optimized geometry

Structure (CIF):
```
data_Nd4Sb2C
_cell_length_a 12.398
_cell_length_b 4.117
_cell_length_c 8.453
_cell_angle_alpha 90.00
_cell_angle_beta 115.32
_cell_angle_gamma 90.00
_space_group_name_H-M_alt 'C 1 2/m 1'
_space_group_IT_number 12
_space_group_name_Hall '-C 2y'
loop_
_atom_site_label
_atom_site_type_symbol
_atom_site_fract_x
_atom_site_fract_y
_atom_site_fract_z
Nd1 Nd 0.060 0.000 0.333
Nd2 Nd 0.148 0.500 0.055
Sb1 Sb 0.157 0.500 0.675
C1 C 0.000 0.000 0.000
```

Summary:
- E above lowest polymorph (kJ/mol of formula units) = 32.5
- formation energy from raw total energies (eV per atom) = -0.651
- crystal system = monoclinic

---

no.,M_tot (μB/f.u.)
1,0.00
2,1.12
3,0.00
4,1.37